TbScGa4: relaxed, PBE.

Output
The calculation puts the formation enthalpy at 0 K at -0.58 eV/atom. As for the excess energy over the best structure of this formula in the dataset: 0.00 eV/f.u. The total magnetization is 0.00 μB per cell. The density of states at the Fermi level comes out at 2.777 states/eV/f.u.

```
TbScGa4
1.0
-1.193 0.324 -4.170
4.244 -0.873 -3.550
-2.085 -4.781 -2.043
Sc Tb Ga
1 1 4
direct
0.500 0.500 0.500
0.000 0.000 0.000
0.235 0.430 0.099
0.765 0.901 0.570
0.765 0.570 0.901
0.235 0.099 0.430
```

Tb2ScGa2: relaxed, PBE.

Output
The calculation puts the formation enthalpy at 0 K at -0.55 eV/atom. As for the excess energy over the best structure of this formula in the dataset: 0.00 eV/f.u. The total magnetization is 0.00 μB per cell. The density of states at the Fermi level comes out at 6.032 states/eV/f.u.

```
Tb2ScGa2
1.0
-2.153 -2.851 2.395
3.151 -5.601 -3.837
5.663 -0.165 4.892
Tb Ga Sc
4 4 2
direct
0.500 0.175 0.675
0.500 0.825 0.325
0.500 0.675 0.825
0.500 0.325 0.175
0.000 0.377 0.877
0.000 0.123 0.377
0.000 0.623 0.123
0.000 0.877 0.623
0.000 0.000 0.000
0.000 0.500 0.500
```

TbSc2Ga9: relaxed, PBE.

Output
The calculation puts the formation enthalpy at 0 K at -0.51 eV/atom. The total magnetization is 0.00 μB per cell. The density of states at the Fermi level comes out at 3.244 states/eV/f.u.

```
TbSc2Ga9
1.0
-3.918 -0.697 1.262
-1.095 -0.937 -3.918
2.810 -12.010 2.088
Ga Tb Sc
9 1 2
direct
0.500 0.000 0.500
0.500 0.500 0.665
0.000 0.500 0.825
0.500 0.000 0.825
0.500 0.500 0.335
0.500 0.500 0.000
0.000 0.500 0.175
0.000 0.500 0.500
0.500 0.000 0.175
0.000 0.000 0.000
0.000 0.000 0.662
0.000 0.000 0.338
```